A plane-wave DFT calculation with PBE-GGA was carried out for a relaxed MnIn crystal.

- Symmetry: P4/nmm (129)
- Energy of formation: 0.30 eV per atom
- E_tot: -11.307 eV/f.u.
- Magnetization: 3.37 μB/f.u.

Cell: 3.1824 3.1824 7.4785 Å, 90.00 90.00 90.00°
Closest atoms and distances in Å follow each position.
Fractional coordinates of all 4 atoms:
Mn  0.7500  0.7500  0.4012  4 Mn 2.69, 4 In 2.83
Mn  0.2500  0.2500  0.5988  4 Mn 2.69, 4 In 2.83
In  0.7500  0.7500  0.8291  4 Mn 2.83
In  0.2500  0.2500  0.1709  4 Mn 2.83